# meta-GGA SCAN CaCuIr3, PBEsol geometry
# DOS(E_F)   5.5 states/eV per cell
# Calculated formation energy   0.972 eV/atom
# E   -46.660 eV/atom
data_CaCuIr3
_cell_length_a 4.507
_cell_length_b 4.507
_cell_length_c 4.507
_cell_angle_alpha 90.00
_cell_angle_beta 90.00
_cell_angle_gamma 90.00
_symmetry_space_group_name_H-M 'P m -3 m'
_symmetry_Int_Tables_number 221
_symmetry_space_group_name_Hall '-P 4 2 3'
loop_
_atom_site_label
_atom_site_type_symbol
_atom_site_fract_x
_atom_site_fract_y
_atom_site_fract_z
Ca1 Ca 0.000 0.000 0.000
Cu1 Cu 0.500 0.500 0.500
Ir1 Ir 0.000 0.500 0.500

# meta-GGA SCAN HfIn3O, PBEsol geometry
# DOS(E_F)   2.1 states/eV per cell
# E   -34.005 eV/atom
data_HfIn3O
_cell_length_a 4.602
_cell_length_b 4.602
_cell_length_c 4.602
_cell_angle_alpha 90.00
_cell_angle_beta 90.00
_cell_angle_gamma 90.00
_symmetry_space_group_name_H-M 'P m -3 m'
_symmetry_Int_Tables_number 221
_symmetry_space_group_name_Hall '-P 4 2 3'
loop_
_atom_site_label
_atom_site_type_symbol
_atom_site_fract_x
_atom_site_fract_y
_atom_site_fract_z
Hf1 Hf 0.000 0.000 0.000
In1 In 0.000 0.500 0.500
O1 O 0.500 0.500 0.500

# meta-GGA SCAN CsCuNiS2, PBEsol geometry
# DOS(E_F)   2.7 states/eV per cell
# E   -17.677 eV/atom
data_CsCuNiS2
_cell_length_a 4.518
_cell_length_b 4.518
_cell_length_c 4.827
_cell_angle_alpha 90.00
_cell_angle_beta 90.00
_cell_angle_gamma 90.00
_symmetry_space_group_name_H-M 'P 4/m m m'
_symmetry_Int_Tables_number 123
_symmetry_space_group_name_Hall '-P 4 2'
loop_
_atom_site_label
_atom_site_type_symbol
_atom_site_fract_x
_atom_site_fract_y
_atom_site_fract_z
Cs1 Cs 0.000 0.000 0.000
Cu1 Cu 0.500 0.500 0.000
Ni1 Ni 0.500 0.500 0.500
S1 S 0.000 0.500 0.500

# meta-GGA SCAN SiMoIr, PBEsol geometry
# Relative energy among the computed polymorphs   9.08 kcal/mol of atoms
# DOS(E_F)   9.9 states/eV per cell
# E   -38.725 eV/atom
data_SiMoIr
_cell_length_a 5.696
_cell_length_b 5.696
_cell_length_c 5.696
_cell_angle_alpha 90.00
_cell_angle_beta 90.00
_cell_angle_gamma 90.00
_symmetry_space_group_name_H-M 'F -4 3 m'
_symmetry_Int_Tables_number 216
_symmetry_space_group_name_Hall 'F -4 2 3'
loop_
_atom_site_label
_atom_site_type_symbol
_atom_site_fract_x
_atom_site_fract_y
_atom_site_fract_z
Si1 Si 0.000 0.000 0.000
Mo1 Mo 0.250 0.250 0.250
Ir1 Ir 0.250 0.250 0.750

# meta-GGA SCAN LaNd3, PBEsol geometry
# Relative energy among the computed polymorphs   0.41 kcal/mol of atoms
# DOS(E_F)   12.3 states/eV per cell
# Calculated formation energy   0.031 eV/atom
# E   -43.432 eV/atom
data_LaNd3
_cell_length_a 7.2503
_cell_length_b 7.2503
_cell_length_c 5.9008
_cell_angle_alpha 90.00
_cell_angle_beta 90.00
_cell_angle_gamma 120.00
_symmetry_space_group_name_H-M 'P 63/m m c'
_symmetry_Int_Tables_number 194
_symmetry_space_group_name_Hall '-P 6c 2c'
loop_
_atom_site_label
_atom_site_type_symbol
_atom_site_fract_x
_atom_site_fract_y
_atom_site_fract_z
La1 La 0.3333 0.6667 0.2500
Nd1 Nd 0.1661 0.3321 0.7500

# meta-GGA SCAN BaReW2, PBEsol geometry
# Relative energy among the computed polymorphs   0.00 kcal/mol of atoms
# DOS(E_F)   4.1 states/eV per cell
# Calculated formation energy   0.901 eV/atom
# E   -61.605 eV/atom
data_BaReW2
_cell_length_a 3.132
_cell_length_b 3.132
_cell_length_c 8.346
_cell_angle_alpha 90.00
_cell_angle_beta 90.00
_cell_angle_gamma 90.00
_symmetry_space_group_name_H-M 'P 4 m m'
_symmetry_Int_Tables_number 99
loop_
_symmetry_equiv_pos_as_xyz
'x,y,z'
'-y,x,z'
'-x,-y,z'
'y,-x,z'
'-x,y,z'
'y,x,z'
'x,-y,z'
'-y,-x,z'
loop_
_atom_site_label
_atom_site_type_symbol
_atom_site_fract_x
_atom_site_fract_y
_atom_site_fract_z
Ba1 Ba 0.000 0.000 0.000
Re1 Re 0.500 0.500 0.315
W1 W 0.000 0.000 0.483
W2 W 0.500 0.500 0.669

# meta-GGA SCAN CdSn3P, PBEsol geometry
# DOS(E_F)   2.2 states/eV per cell
# Calculated formation energy   0.956 eV/atom
# E   -28.759 eV/atom
data_CdSn3P
_cell_length_a 5.319
_cell_length_b 5.319
_cell_length_c 5.319
_cell_angle_alpha 90.00
_cell_angle_beta 90.00
_cell_angle_gamma 90.00
_symmetry_space_group_name_H-M 'P m -3 m'
_symmetry_Int_Tables_number 221
_symmetry_space_group_name_Hall '-P 4 2 3'
loop_
_atom_site_label
_atom_site_type_symbol
_atom_site_fract_x
_atom_site_fract_y
_atom_site_fract_z
Cd1 Cd 0.000 0.000 0.000
Sn1 Sn 0.000 0.000 0.500
P1 P 0.500 0.500 0.500

# meta-GGA SCAN LiTaAs, PBEsol geometry
# DOS(E_F)   4.0 states/eV per cell
# Calculated formation energy   -0.044 eV/atom
# E   -29.765 eV/atom
data_LiTaAs
_cell_length_a 3.290
_cell_length_b 4.692
_cell_length_c 13.037
_cell_angle_alpha 90.00
_cell_angle_beta 90.00
_cell_angle_gamma 90.00
_symmetry_space_group_name_H-M 'F m m 2'
_symmetry_Int_Tables_number 42
_symmetry_space_group_name_Hall 'F 2 -2'
loop_
_atom_site_label
_atom_site_type_symbol
_atom_site_fract_x
_atom_site_fract_y
_atom_site_fract_z
Li1 Li 0.000 0.000 0.000
Ta1 Ta 0.000 0.000 0.685
As1 As 0.000 0.000 0.340